Entry from Alexandria: a relaxed structure of Ti5V2Mo4 (GGA-PBE).

## Properties
Crystal system   monoclinic
ΔH_f (0 K)   8.1 kcal/mol of atoms

Unit cell a=9.4766 b=9.4766 c=6.9741 alpha=91.73 beta=91.73 gamma=17.35
Fractional positions:
Ti  0.0000  0.0000  0.0000
Ti  0.3172  0.3172  0.9440
Ti  0.4089  0.4089  0.2646
Ti  0.5911  0.5911  0.7354
Ti  0.6828  0.6828  0.0560
V  0.2718  0.2718  0.3080
V  0.7282  0.7282  0.6920
Mo  0.1551  0.1551  0.4086
Mo  0.4595  0.4595  0.6604
Mo  0.5405  0.5405  0.3396
Mo  0.8449  0.8449  0.5914